ThP2Ir2Ru: optimized geometry, GGA-PBE.

Electronic total energy in eV/atom: -8.2587
DOS at the Fermi energy in states/eV/f.u.: 4.555
Formation energy from the elements in eV per atom: -0.7191
Magnetic moment in μB/f.u.: 0.00

Unit cell a=4.167 b=4.167 c=6.665 alpha=90.00 beta=90.00 gamma=120.00
Positions (direct):
Th (0.000, 0.000, 0.000)
P (0.333, 0.667, 0.327)
P (0.667, 0.333, 0.673)
Ir (0.333, 0.667, 0.708)
Ir (0.667, 0.333, 0.292)
Ru (0.000, 0.000, 0.500)